(1)
Below is a geometry-optimized Tb2P2PbN6 structure, with properties calculated at the PBE level.

The space group is P-1 (No. 2) and the conventional cell measures 5.898, 6.032 and 6.397 Å, with angles of 101.40, 112.78 and 110.75 degrees. The distinct sites, in fractional coordinates, are Tb at (0.125, 0.204, 0.326), P at (0.205, 0.753, 0.265), Pb at (0.500, 0.500, 0.000), N at (0.008, 0.771, 0.375), N at (0.200, 0.881, 0.071) and N at (0.395, 0.625, 0.357).

The value obtained for the uncorrected formation energy is -0.6465 eV per atom. The spin magnetization comes out at 0.00 Bohr magnetons per cell.

(2)
Below is a geometry-optimized Li8Zn3 structure, with properties calculated at the PBE level.

The space group is C2/m (No. 12) and the conventional cell measures 8.185, 4.355 and 10.644 Å, with angles of 90.00, 109.72 and 90.00 degrees. The distinct sites, in fractional coordinates, are Li at (0.092, 0.000, 0.274), Li at (0.135, 0.500, 0.906), Li at (0.179, 0.000, 0.544), Li at (0.229, 0.500, 0.182), Zn at (0.000, 0.000, 0.000) and Zn at (0.039, 0.500, 0.631).

For the formation energy from the elements, the calculation gives -0.11 eV per atom. The spin magnetization comes out at 0.00 Bohr magnetons per cell. The relative energy among the computed polymorphs comes out at 0.000 eV per atom. The density of states at the Fermi level comes out at 9.01 states/eV per cell.

(3)
Below is a geometry-optimized PmCSe structure, with properties calculated at the PBE level.

The space group is C2/m (No. 12) and the conventional cell measures 7.606, 2.921 and 11.387 Å, with angles of 90.00, 98.88 and 90.00 degrees. The distinct sites, in fractional coordinates, are Pm at (0.067, 0.000, 0.157), C at (0.215, 0.500, 0.011) and Se at (0.180, 0.000, 0.669).

The value obtained for the uncorrected formation energy is -0.3227 eV per atom. The spin magnetization comes out at 0.00 Bohr magnetons per cell. The density of states at the Fermi level comes out at 2.76 states/eV per cell.